PBE-GGA ScBeTlCu, optimized geometry; distance to the lowest polymorph of the same formula = 0.101 eV/atom; DFT total energy = -15.5 eV per cell; spin magnetization = 0.00 μB per cell
1.0
-0.948 -4.407 0.647
-4.306 -1.462 -0.243
-1.334 -2.581 -3.507
Be Cu Sc Tl
1 1 1 1
Cartesian
-3.294 -4.225 -1.551
-4.941 -6.338 -2.327
-1.647 -2.113 -0.776
0.000 0.000 0.000